# 1
{
  "formula": "SmCr2B6",
  "functional": "GGA-PBEsol",
  "state": "optimized geometry",
  "cell": [[-1.533, 3.232, 4.138], [1.533, -3.232, 4.138], [1.533, 3.232, -4.138]],
  "species": ["Sm", "Cr", "Cr", "B", "B", "B", "B", "B", "B"],
  "frac_coords": [[0.000, 0.000, 0.000], [0.346, 0.846, 0.500], [0.654, 0.154, 0.500], [0.066, 0.303, 0.764], [0.360, 0.500, 0.860], [0.461, 0.697, 0.764], [0.539, 0.303, 0.236], [0.640, 0.500, 0.140], [0.934, 0.697, 0.236]],
  "formation_enthalpy_0k_ev_per_atom": -0.6201,
  "vol_a3_per_atom": 9.11,
  "sg": "Immm, No. 71",
  "magmom_total_mub_per_atom": 0.000
}

# 2
{
  "formula": "Ca2MgAu",
  "functional": "GGA-PBEsol",
  "state": "optimized geometry",
  "cell": [[4.441, 0.000, 0.000], [0.000, 2.147, 5.797], [0.000, -2.147, 5.797]],
  "species": ["Ca", "Ca", "Mg", "Au"],
  "frac_coords": [[0.000, 0.000, 0.000], [0.500, 0.298, 0.298], [0.000, 0.707, 0.707], [0.500, 0.572, 0.572]],
  "formation_enthalpy_0k_ev_per_atom": -0.4065,
  "vol_a3_per_atom": 27.63,
  "sg": "Amm2, No. 38",
  "magmom_total_mub_per_atom": 0.000
}

# 3
{
  "formula": "TlPb7",
  "functional": "GGA-PBEsol",
  "state": "optimized geometry",
  "cell": [[0.000, 4.910, 4.910], [4.910, 0.000, 4.910], [4.910, 4.910, 0.000]],
  "species": ["Tl", "Pb", "Pb", "Pb", "Pb", "Pb", "Pb", "Pb"],
  "frac_coords": [[0.000, 0.000, 0.000], [0.000, 0.000, 0.500], [0.000, 0.500, 0.000], [0.000, 0.500, 0.500], [0.500, 0.000, 0.000], [0.500, 0.000, 0.500], [0.500, 0.500, 0.000], [0.500, 0.500, 0.500]],
  "formation_enthalpy_0k_ev_per_atom": -0.0036,
  "vol_a3_per_atom": 29.60,
  "sg": "Fm-3m, No. 225",
  "magmom_total_mub_per_atom": 0.000
}

# 4
{
  "formula": "TcSbPt2",
  "functional": "GGA-PBEsol",
  "state": "optimized geometry",
  "cell": [[2.689, -4.038, 0.000], [2.689, 4.038, 0.000], [0.000, 0.000, 2.981]],
  "species": ["Tc", "Sb", "Pt", "Pt"],
  "frac_coords": [[0.000, 0.000, 0.000], [0.500, 0.500, 0.000], [0.000, 0.500, 0.500], [0.500, 0.000, 0.500]],
  "vol_a3_per_atom": 16.18,
  "sg": "Cmmm, No. 65",
  "total_energy_ev_per_atom": -7.39,
  "magmom_total_mub_per_atom": 0.000
}

# 5
{
  "formula": "Sr2ScZn",
  "functional": "GGA-PBEsol",
  "state": "optimized geometry",
  "cell": [[1.947, 1.124, 10.397], [-1.947, 1.124, 10.397], [0.000, -2.249, 10.397]],
  "species": ["Sr", "Sr", "Sc", "Zn"],
  "frac_coords": [[0.000, 0.000, 0.000], [0.217, 0.217, 0.217], [0.456, 0.456, 0.456], [0.738, 0.738, 0.738]],
  "formation_enthalpy_0k_ev_per_atom": 0.1620,
  "vol_a3_per_atom": 34.14,
  "sg": "R3m, No. 160",
  "magmom_total_mub_per_atom": 0.098
}

# 6
{
  "formula": "HoRu3C",
  "functional": "GGA-PBEsol",
  "state": "optimized geometry",
  "cell": [[4.097, 0.000, 0.000], [0.000, 4.097, 0.000], [0.000, 0.000, 4.097]],
  "species": ["Ho", "Ru", "Ru", "Ru", "C"],
  "frac_coords": [[0.000, 0.000, 0.000], [0.000, 0.500, 0.500], [0.500, 0.000, 0.500], [0.500, 0.500, 0.000], [0.500, 0.500, 0.500]],
  "formation_enthalpy_0k_ev_per_atom": -0.2388,
  "vol_a3_per_atom": 13.75,
  "sg": "Pm-3m, No. 221",
  "magmom_total_mub_per_atom": 0.000
}

What did the first record say?
{
  "formula": "SmCr2B6",
  "functional": "GGA-PBEsol",
  "state": "optimized geometry",
  "cell": [[-1.533, 3.232, 4.138], [1.533, -3.232, 4.138], [1.533, 3.232, -4.138]],
  "species": ["Sm", "Cr", "Cr", "B", "B", "B", "B", "B", "B"],
  "frac_coords": [[0.000, 0.000, 0.000], [0.346, 0.846, 0.500], [0.654, 0.154, 0.500], [0.066, 0.303, 0.764], [0.360, 0.500, 0.860], [0.461, 0.697, 0.764], [0.539, 0.303, 0.236], [0.640, 0.500, 0.140], [0.934, 0.697, 0.236]],
  "formation_enthalpy_0k_ev_per_atom": -0.6201,
  "vol_a3_per_atom": 9.11,
  "sg": "Immm, No. 71",
  "magmom_total_mub_per_atom": 0.000
}